Material: CsLiPr2Br8
Method: DFT, PBE-GGA
State: relaxed

Cell and atoms, written as POSCAR:
```
CsLiPr2Br8
1.0
-3.144 -0.953 -6.626
3.773 -5.848 -2.261
-6.288 -5.518 3.775
Pr Br Cs Li
2 8 1 1
direct
0.500 0.500 0.762
0.500 0.500 0.238
0.616 0.706 0.500
0.365 0.284 0.000
0.159 0.748 0.201
0.384 0.294 0.500
0.841 0.251 0.201
0.841 0.252 0.799
0.159 0.749 0.799
0.635 0.716 0.000
0.000 0.000 0.500
0.000 0.000 0.000
```

total magnetization	0.00	μB per cell
space group	P2/m, No. 10
total energy	-3.898	eV/atom